First-principles (PBE with a Hubbard U) data for a relaxed Mn2Te3O8 crystal, as listed in Alexandria.

a = 7.103 Å, b = 7.103 Å, c = 12.053 Å
α = 97.20°, β = 97.20°, γ = 45.60°
Fractional positions:
Mn: 0.034 0.426 0.351
Mn: 0.426 0.034 0.851
Mn: 0.574 0.966 0.149
Mn: 0.966 0.574 0.649
Te: 0.045 0.676 0.942
Te: 0.136 0.864 0.250
Te: 0.324 0.955 0.558
Te: 0.676 0.045 0.442
Te: 0.864 0.136 0.750
Te: 0.955 0.324 0.058
O: 0.000 0.152 0.354
O: 0.000 0.848 0.646
O: 0.002 0.232 0.642
O: 0.152 0.000 0.854
O: 0.162 0.445 0.812
O: 0.232 0.002 0.142
O: 0.249 0.277 0.028
O: 0.277 0.249 0.528
O: 0.445 0.162 0.312
O: 0.555 0.838 0.688
O: 0.723 0.751 0.472
O: 0.751 0.723 0.972
O: 0.768 0.998 0.858
O: 0.838 0.555 0.188
O: 0.848 0.000 0.146
O: 0.998 0.768 0.358

DFT total energy in eV/atom: -6.231